An optimized crystal structure of Cr2BO, computed with GGA+U.

## Properties
Its symmetry is Fm-3m, No. 225. As for the total energy: -5.59 eV per atom. The density of states at the Fermi level is 0.751 states/eV/atom.

```
Cr2BO
1.0
-0.5574 -3.2688 1.6190
-1.7049 -0.1735 3.2681
-3.4117 -1.3872 0.2299
Cr O B
2 1 1
Direct
0.7500 0.7500 0.7500
0.2500 0.2500 0.2500
0.5000 0.5000 0.5000
0.0000 0.0000 0.0000
```